The following is a PBE-GGA calculation of crystalline AlVNi6 at its relaxed geometry, from the Alexandria database.

Energy of formation from the pure elements: -368 meV per atom
Spin magnetization: 0.00 μB/f.u.
Uncorrected energy: -6.312 eV per atom

a b c (Å): 3.5625 3.5625 7.0891
angles (deg): 90.00 90.00 90.00
Atoms (fractional coordinates):
Al: 0.0000 0.0000 0.0000
V: 0.0000 0.0000 0.5000
Ni: 0.0000 0.5000 0.2554
Ni: 0.0000 0.5000 0.7446
Ni: 0.5000 0.0000 0.2554
Ni: 0.5000 0.0000 0.7446
Ni: 0.5000 0.5000 0.0000
Ni: 0.5000 0.5000 0.5000